Entry 1:
## Ba2Tl2Ga (PBE)

Data for a relaxed Ba2Tl2Ga crystal.

The structure in POSCAR format:
```
Ba2Tl2Ga
1.0
-9.580 -1.019 1.372
1.687 -4.374 8.527
-0.119 3.737 1.940
Tl Ba Ga
4 4 2
direct
0.119 0.619 0.500 Tl
0.619 0.881 0.500 Tl
0.881 0.381 0.500 Tl
0.381 0.119 0.500 Tl
0.320 0.820 0.000 Ba
0.820 0.680 0.000 Ba
0.680 0.180 0.000 Ba
0.180 0.320 0.000 Ba
0.000 0.000 0.000 Ga
0.500 0.500 0.000 Ga
```

offset from the most stable computed form	270	meV/atom
space-group type	P4/mbm, No. 127

---

Entry 2:
## Ba5Tl4Ga (PBE)

Data for a relaxed Ba5Tl4Ga crystal.

The structure in POSCAR format:
```
Ba5Tl4Ga
1.0
4.245 0.000 0.000
0.000 4.245 0.000
0.000 0.000 21.491
Ba Tl Ga
5 4 1
direct
0.500 0.500 0.092 Ba
0.500 0.500 0.297 Ba
0.500 0.500 0.500 Ba
0.500 0.500 0.703 Ba
0.500 0.500 0.908 Ba
0.000 0.000 0.195 Tl
0.000 0.000 0.399 Tl
0.000 0.000 0.601 Tl
0.000 0.000 0.805 Tl
0.000 0.000 0.000 Ga
```

space-group type	P4/mmm, No. 123

---

Record order is preserved below.
Ρ: 6.3; 6.7 Mg/m³
Record order is preserved below.
Uncorrected energy: -12.04; -25.92 eV/f.u.
Record order is preserved below.
Energy of formation from the pure elements: -0.087; -0.381 eV/atom